# 1
The following is a PBE-GGA calculation of a relaxed Rb4Er3PaS8 crystal, from the Alexandria database.

Summary:
Crystal system: trigonal
M_tot in μB per formula unit: 1.796
Formation energy without anion corrections in meV per atom: -1728

a = 9.0094 Å, b = 9.0094 Å, c = 9.0094 Å
α = 53.52°, β = 53.52°, γ = 53.52°
Sites, in units of the cell vectors:
Rb 0.0000 0.0000 0.0000
Rb 0.0000 0.5000 0.5000
Rb 0.5000 0.0000 0.5000
Rb 0.5000 0.5000 0.0000
Er 0.0000 0.0000 0.5000
Er 0.0000 0.5000 0.0000
Er 0.5000 0.0000 0.0000
Pa 0.5000 0.5000 0.5000
S 0.2291 0.7317 0.7317
S 0.2302 0.2302 0.2302
S 0.2683 0.2683 0.7709
S 0.2683 0.7709 0.2683
S 0.7317 0.2291 0.7317
S 0.7317 0.7317 0.2291
S 0.7698 0.7698 0.7698
S 0.7709 0.2683 0.2683

---

# 2
The following is a PBE-GGA calculation of a relaxed Rb4ErPa3S12 crystal, from the Alexandria database.

Summary:
Crystal system: cubic
M_tot in μB per formula unit: 0.000
Formation energy without anion corrections in meV per atom: -1478

a = 9.1588 Å, b = 9.1588 Å, c = 9.1588 Å
α = 109.47°, β = 109.47°, γ = 109.47°
Sites, in units of the cell vectors:
Rb 0.0000 0.0000 0.5000
Rb 0.0000 0.5000 0.0000
Rb 0.5000 0.0000 0.0000
Rb 0.5000 0.5000 0.5000
Er 0.0000 0.0000 0.0000
Pa 0.0000 0.5000 0.5000
Pa 0.5000 0.0000 0.5000
Pa 0.5000 0.5000 0.0000
S 0.0000 0.2553 0.2553
S 0.0000 0.7447 0.7447
S 0.2500 0.5000 0.7500
S 0.2500 0.7500 0.5000
S 0.2553 0.0000 0.2553
S 0.2553 0.2553 0.0000
S 0.5000 0.2500 0.7500
S 0.5000 0.7500 0.2500
S 0.7447 0.0000 0.7447
S 0.7447 0.7447 0.0000
S 0.7500 0.2500 0.5000
S 0.7500 0.5000 0.2500

---

# 3
The following is a PBE-GGA calculation of a relaxed Rb3Er3PaS8 crystal, from the Alexandria database.

Summary:
Crystal system: trigonal
M_tot in μB per formula unit: 1.038
Formation energy without anion corrections in meV per atom: -1817

a = 9.0888 Å, b = 9.0888 Å, c = 9.0888 Å
α = 52.61°, β = 52.61°, γ = 52.61°
Sites, in units of the cell vectors:
Rb 0.0000 0.5000 0.5000
Rb 0.5000 0.0000 0.5000
Rb 0.5000 0.5000 0.0000
Er 0.0000 0.0000 0.5000
Er 0.0000 0.5000 0.0000
Er 0.5000 0.0000 0.0000
Pa 0.5000 0.5000 0.5000
S 0.2294 0.2294 0.2294
S 0.2294 0.7287 0.7287
S 0.2713 0.2713 0.7706
S 0.2713 0.7706 0.2713
S 0.7287 0.2294 0.7287
S 0.7287 0.7287 0.2294
S 0.7706 0.2713 0.2713
S 0.7706 0.7706 0.7706

---

# 4
The following is a PBE-GGA calculation of a relaxed RbErPaS4 crystal, from the Alexandria database.

Summary:
Crystal system: orthorhombic
M_tot in μB per formula unit: 1.017
Formation energy without anion corrections in meV per atom: -1667

a = 8.4549 Å, b = 8.4549 Å, c = 8.4549 Å
α = 120.36°, β = 119.10°, γ = 90.47°
Sites, in units of the cell vectors:
Rb 0.3807 0.1307 0.2500
Rb 0.6193 0.8693 0.7500
Er 0.0000 0.0000 0.5000
Er 0.0000 0.5000 0.0000
Pa 0.0000 0.5000 0.5000
Pa 0.5000 0.5000 0.0000
S 0.1830 0.7275 0.4554
S 0.2279 0.2725 0.9554
S 0.2305 0.2742 0.5437
S 0.2305 0.6868 0.9563
S 0.7695 0.3132 0.0437
S 0.7695 0.7258 0.4563
S 0.7721 0.7275 0.0446
S 0.8170 0.2725 0.5446

---

# 5
The following is a PBE-GGA calculation of a relaxed Rb2Er2PaS6 crystal, from the Alexandria database.

Summary:
Crystal system: monoclinic
M_tot in μB per formula unit: 1.067
Formation energy without anion corrections in meV per atom: -1810

a = 6.9535 Å, b = 6.9535 Å, c = 8.2197 Å
α = 98.22°, β = 98.22°, γ = 119.97°
Sites, in units of the cell vectors:
Rb 0.1680 0.8320 0.0000
Rb 0.8320 0.1680 0.0000
Er 0.3336 0.6664 0.5000
Er 0.6664 0.3336 0.5000
Pa 0.0000 0.0000 0.5000
S 0.0611 0.3948 0.6858
S 0.2686 0.2686 0.3142
S 0.3948 0.0611 0.6858
S 0.6052 0.9389 0.3142
S 0.7314 0.7314 0.6858
S 0.9389 0.6052 0.3142

---

# 6
The following is a PBE-GGA calculation of a relaxed Rb3Er3PaSe8 crystal, from the Alexandria database.

Summary:
Crystal system: trigonal
M_tot in μB per formula unit: 1.032
Formation energy without anion corrections in meV per atom: -1671

a = 9.4563 Å, b = 9.4563 Å, c = 9.4563 Å
α = 52.52°, β = 52.52°, γ = 52.52°
Sites, in units of the cell vectors:
Rb 0.0000 0.5000 0.5000
Rb 0.5000 0.0000 0.5000
Rb 0.5000 0.5000 0.0000
Er 0.0000 0.0000 0.5000
Er 0.0000 0.5000 0.0000
Er 0.5000 0.0000 0.0000
Pa 0.5000 0.5000 0.5000
Se 0.2292 0.7314 0.7314
Se 0.2307 0.2307 0.2307
Se 0.2686 0.2686 0.7708
Se 0.2686 0.7708 0.2686
Se 0.7314 0.2292 0.7314
Se 0.7314 0.7314 0.2292
Se 0.7693 0.7693 0.7693
Se 0.7708 0.2686 0.2686

---

# 7
The following is a PBE-GGA calculation of a relaxed Rb3Er2PaSe6 crystal, from the Alexandria database.

Summary:
Crystal system: monoclinic
M_tot in μB per formula unit: 1.797
Formation energy without anion corrections in meV per atom: -1559

a = 7.3044 Å, b = 7.3044 Å, c = 8.3890 Å
α = 98.34°, β = 98.34°, γ = 120.00°
Sites, in units of the cell vectors:
Rb 0.0000 0.0000 0.0000
Rb 0.3332 0.6668 0.0000
Rb 0.6668 0.3332 0.0000
Er 0.1666 0.8334 0.5000
Er 0.8334 0.1666 0.5000
Pa 0.5000 0.5000 0.5000
Se 0.0989 0.4345 0.3035
Se 0.2300 0.2300 0.6966
Se 0.4345 0.0989 0.3035
Se 0.5655 0.9011 0.6965
Se 0.7700 0.7700 0.3034
Se 0.9011 0.5655 0.6965

---

# 8
The following is a PBE-GGA calculation of a relaxed Rb4Er3PaSe8 crystal, from the Alexandria database.

Summary:
Crystal system: trigonal
M_tot in μB per formula unit: 1.836
Formation energy without anion corrections in meV per atom: -1600

a = 9.3819 Å, b = 9.3819 Å, c = 9.3819 Å
α = 53.46°, β = 53.46°, γ = 53.46°
Sites, in units of the cell vectors:
Rb 0.0000 0.0000 0.0000
Rb 0.0000 0.5000 0.5000
Rb 0.5000 0.0000 0.5000
Rb 0.5000 0.5000 0.0000
Er 0.0000 0.0000 0.5000
Er 0.0000 0.5000 0.0000
Er 0.5000 0.0000 0.0000
Pa 0.5000 0.5000 0.5000
Se 0.2291 0.7337 0.7337
Se 0.2313 0.2313 0.2313
Se 0.2663 0.2663 0.7709
Se 0.2663 0.7709 0.2663
Se 0.7337 0.2291 0.7337
Se 0.7337 0.7337 0.2291
Se 0.7687 0.7687 0.7687
Se 0.7709 0.2663 0.2663